Entry 1:
Entry from Alexandria: PrPu2Mn after structural relaxation (GGA-PBE).

Computed properties:
E_tot: -41.956 eV/cell
Energy of formation from the pure elements: 0.1643 eV/atom
Magnetization: 8.71 μB/cell
Density: 11.3 g cm⁻³

abc: 3.394 3.394 8.712
angles: 90.00 90.00 90.00
Site moments in Bohr magnetons follow the coordinates.
Element x y z (fractional)
Mn 0.500 0.500 0.000  -2.73
Pu 0.000 0.000 0.813  5.41
Pr 0.500 0.500 0.500  -0.03
Pu 0.000 0.000 0.187  5.41


Entry 2:
Entry from Alexandria: PrPu2Mn after structural relaxation (GGA-PBE).

Computed properties:
E_tot: -41.064 eV/cell
Energy of formation from the pure elements: 0.3872 eV/atom
Magnetization: 9.35 μB/cell
Density: 10.8 g cm⁻³

abc: 3.447 3.447 10.428
angles: 80.49 80.49 60.00
Site moments in Bohr magnetons follow the coordinates.
Element x y z (fractional)
Pu 0.893 0.893 0.321  5.43
Pr 0.000 0.000 0.000  0.10
Mn 0.500 0.500 0.500  -2.36
Pu 0.107 0.107 0.679  5.43


Entry 3:
Entry from Alexandria: RbPr2MnS4 after structural relaxation (GGA-PBE).

Computed properties:
Uncorrected formation energy: -1.59 eV per atom
E_tot: -97.800 eV/cell
Magnetization: 8.40 μB/cell
Density: 4.3 g cm⁻³

abc: 4.108 7.470 14.296
angles: 90.00 90.00 105.96
Site moments in Bohr magnetons follow the coordinates.
Element x y z (fractional)
Pr 0.368 0.735 0.556  -0.04
S 0.581 0.162 0.250  0.05
Mn 0.829 0.658 0.750  3.78
S 0.419 0.838 0.750  0.05
S 0.738 0.475 0.886  0.04
S 0.262 0.525 0.386  0.04
Rb 0.101 0.202 0.750  0.00
Pr 0.368 0.735 0.944  -0.04
Pr 0.632 0.265 0.056  -0.04
S 0.000 0.000 0.500  0.01
S 0.000 0.000 0.000  0.01
S 0.738 0.475 0.614  0.04
S 0.262 0.525 0.114  0.04
Rb 0.899 0.798 0.250  0.00
Pr 0.632 0.265 0.444  -0.04
Mn 0.171 0.342 0.250  3.78


Entry 4:
Entry from Alexandria: Rb3Pr2MnS6 after structural relaxation (GGA-PBE).

Computed properties:
Uncorrected formation energy: -1.40 eV per atom
E_tot: -63.202 eV/cell
Magnetization: 4.00 μB/cell
Density: 3.9 g cm⁻³

abc: 7.052 7.052 8.105
angles: 99.34 99.34 117.94
Site moments in Bohr magnetons follow the coordinates.
Element x y z (fractional)
Rb 0.829 0.171 0.500  0.00
S 0.734 0.734 0.214  0.04
S 0.939 0.649 0.822  -0.03
S 0.649 0.939 0.822  -0.03
Mn 0.000 0.000 0.000  3.75
Rb 0.500 0.500 0.500  0.00
Pr 0.337 0.663 0.000  0.01
Pr 0.663 0.337 0.000  0.01
S 0.061 0.351 0.178  -0.03
Rb 0.171 0.829 0.500  0.00
S 0.351 0.061 0.178  -0.03
S 0.266 0.266 0.786  0.04


Entry 5:
Entry from Alexandria: Rb4Pr3MnS8 after structural relaxation (GGA-PBE).

Computed properties:
Uncorrected formation energy: -1.48 eV per atom
E_tot: -84.125 eV/cell
Magnetization: 4.00 μB/cell
Density: 3.9 g cm⁻³

abc: 8.290 9.063 8.290
angles: 117.22 120.00 90.00
Site moments in Bohr magnetons follow the coordinates.
Element x y z (fractional)
S 0.734 0.703 0.468  0.00
Mn 0.000 0.500 0.000  3.88
Pr 0.500 0.500 0.500  0.01
S 0.783 0.311 0.567  -0.02
S 0.245 0.311 0.028  -0.02
Pr 0.000 0.500 0.500  0.01
Rb 0.500 0.000 0.500  0.00
S 0.783 0.311 0.028  -0.02
S 0.217 0.689 0.972  -0.02
S 0.217 0.689 0.433  -0.02
Rb 0.000 0.000 0.000  0.00
S 0.755 0.689 0.972  -0.02
S 0.266 0.297 0.532  0.00
Pr 0.500 0.500 0.000  0.01
Rb 0.500 0.000 0.000  0.00
Rb 0.000 0.000 0.500  0.00


Entry 6:
Entry from Alexandria: Rb3Pr3MnS8 after structural relaxation (GGA-PBE).

Computed properties:
Uncorrected formation energy: -1.47 eV per atom
E_tot: -81.454 eV/cell
Magnetization: 2.96 μB/cell
Density: 3.6 g cm⁻³

abc: 8.175 8.177 9.157
angles: 116.55 90.00 119.99
Site moments in Bohr magnetons follow the coordinates.
Element x y z (fractional)
Pr 0.500 0.500 0.500  0.01
S 0.797 0.593 0.323  -0.04
S 0.203 0.407 0.677  -0.04
S 0.266 0.532 0.299  0.00
S 0.771 0.974 0.677  -0.04
Rb 0.000 0.000 0.000  0.00
S 0.734 0.468 0.701  0.00
S 0.229 0.026 0.323  -0.04
Pr 0.500 0.000 0.500  0.01
S 0.203 0.974 0.677  -0.04
Rb 0.500 0.500 0.000  0.00
Mn 0.000 0.000 0.500  3.13
Rb 0.000 0.500 0.000  0.00
S 0.797 0.026 0.323  -0.04
Pr 0.000 0.500 0.500  0.01


Entry 7:
Entry from Alexandria: RbPrMnSe3 after structural relaxation (GGA-PBE).

Computed properties:
Uncorrected formation energy: -1.29 eV per atom
E_tot: -66.176 eV/cell
Magnetization: 10.00 μB/cell
Density: 4.3 g cm⁻³

abc: 4.360 9.541 10.129
angles: 107.09 90.00 90.00
Site moments in Bohr magnetons follow the coordinates.
Element x y z (fractional)
Rb 0.250 0.202 0.231  0.00
Se 0.750 0.192 0.533  0.10
Mn 0.750 0.914 0.393  4.20
Se 0.250 0.808 0.467  0.10
Rb 0.750 0.798 0.769  0.00
Se 0.250 0.114 0.857  0.05
Se 0.250 0.540 0.841  0.02
Pr 0.250 0.667 0.144  0.03
Mn 0.250 0.086 0.607  4.20
Se 0.750 0.886 0.143  0.05
Pr 0.750 0.333 0.856  0.03
Se 0.750 0.460 0.159  0.02


Entry 8:
Entry from Alexandria: RbPrMnSe4 after structural relaxation (GGA-PBE).

Computed properties:
Uncorrected formation energy: -1.11 eV per atom
E_tot: -73.247 eV/cell
Magnetization: 6.00 μB/cell
Density: 4.7 g cm⁻³

abc: 6.785 6.707 9.720
angles: 90.00 108.85 90.00
Site moments in Bohr magnetons follow the coordinates.
Element x y z (fractional)
Se 0.591 0.250 0.833  -0.02
Pr 0.233 0.250 0.548  0.04
Se 0.027 0.990 0.719  -0.06
Pr 0.767 0.750 0.452  0.04
Se 0.027 0.510 0.719  -0.06
Rb 0.732 0.750 0.936  0.00
Mn 0.212 0.750 0.321  2.86
Mn 0.788 0.250 0.679  2.86
Se 0.607 0.250 0.432  -0.04
Rb 0.268 0.250 0.064  0.00
Se 0.409 0.750 0.167  -0.02
Se 0.973 0.010 0.281  -0.06
Se 0.393 0.750 0.568  -0.04
Se 0.973 0.490 0.281  -0.06


Entry 9:
Entry from Alexandria: RbPr2MnSe4 after structural relaxation (GGA-PBE).

Computed properties:
Uncorrected formation energy: -1.46 eV per atom
E_tot: -90.609 eV/cell
Magnetization: 8.43 μB/cell
Density: 5.2 g cm⁻³

abc: 4.264 7.749 14.918
angles: 90.00 90.00 105.97
Site moments in Bohr magnetons follow the coordinates.
Element x y z (fractional)
Mn 0.168 0.337 0.250  3.85
Se 0.736 0.471 0.614  0.04
Pr 0.368 0.736 0.942  -0.05
Se 0.426 0.851 0.750  0.04
Se 0.574 0.149 0.250  0.04
Pr 0.632 0.264 0.058  -0.05
Se 0.000 0.000 0.000  0.01
Pr 0.368 0.736 0.558  -0.05
Se 0.264 0.529 0.114  0.04
Mn 0.832 0.663 0.750  3.85
Rb 0.895 0.791 0.250  0.00
Se 0.264 0.529 0.386  0.04
Se 0.000 0.000 0.500  0.01
Rb 0.105 0.209 0.750  0.00
Se 0.736 0.471 0.886  0.04
Pr 0.632 0.264 0.442  -0.05


Entry 10:
Entry from Alexandria: Rb3Pr2MnSe6 after structural relaxation (GGA-PBE).

Computed properties:
Uncorrected formation energy: -1.33 eV per atom
E_tot: -58.486 eV/cell
Magnetization: 4.00 μB/cell
Density: 4.7 g cm⁻³

abc: 7.344 7.344 8.423
angles: 99.20 99.20 118.24
Site moments in Bohr magnetons follow the coordinates.
Element x y z (fractional)
Rb 0.828 0.172 0.500  0.00
Mn 0.000 0.000 0.000  3.81
Se 0.355 0.061 0.183  -0.04
Se 0.261 0.261 0.786  0.04
Se 0.939 0.645 0.817  -0.04
Rb 0.500 0.500 0.500  0.00
Pr 0.337 0.663 0.000  0.01
Se 0.645 0.939 0.817  -0.04
Pr 0.663 0.337 0.000  0.01
Rb 0.172 0.828 0.500  0.00
Se 0.061 0.355 0.183  -0.04
Se 0.739 0.739 0.214  0.04


Entry 11:
Entry from Alexandria: Rb4Pr3MnSe8 after structural relaxation (GGA-PBE).

Computed properties:
Uncorrected formation energy: -1.42 eV per atom
E_tot: -77.908 eV/cell
Magnetization: 3.99 μB/cell
Density: 4.7 g cm⁻³

abc: 8.617 9.430 8.620
angles: 117.19 119.99 90.00
Site moments in Bohr magnetons follow the coordinates.
Element x y z (fractional)
Pr 0.500 0.500 0.500  0.01
Rb 0.000 0.000 0.500  0.00
Se 0.244 0.308 0.026  -0.03
Se 0.735 0.706 0.471  0.00
Se 0.265 0.294 0.529  0.00
Se 0.218 0.692 0.437  -0.03
Rb 0.000 0.000 0.000  0.00
Se 0.782 0.308 0.026  -0.03
Se 0.782 0.308 0.563  -0.03
Se 0.756 0.692 0.974  -0.03
Pr 0.500 0.500 0.000  0.01
Se 0.218 0.692 0.974  -0.03
Pr 0.000 0.500 0.500  0.01
Rb 0.500 0.000 0.000  0.00
Rb 0.500 0.000 0.500  0.00
Mn 0.000 0.500 0.000  3.93


Entry 12:
Entry from Alexandria: PrMnReSi2 after structural relaxation (GGA-PBE).

Computed properties:
Uncorrected formation energy: -0.52 eV per atom
E_tot: -39.821 eV/cell
Magnetization: 2.46 μB/cell
Density: 8.3 g cm⁻³

abc: 4.064 4.064 6.056
angles: 109.61 109.61 90.00
Site moments in Bohr magnetons follow the coordinates.
Element x y z (fractional)
Pr 0.000 0.000 0.000  -0.08
Si 0.622 0.622 0.245  -0.04
Mn 0.250 0.750 0.500  2.65
Re 0.750 0.250 0.500  0.05
Si 0.378 0.378 0.755  -0.04


Entry 13:
Entry from Alexandria: PrMnRh2 after structural relaxation (GGA-PBE).

Computed properties:
E_tot: -29.761 eV/cell
Energy of formation from the pure elements: -0.2773 eV/atom
Magnetization: 4.56 μB/cell
Density: 9.1 g cm⁻³

abc: 4.705 4.705 4.705
angles: 60.00 60.00 60.00
Site moments in Bohr magnetons follow the coordinates.
Element x y z (fractional)
Pr 0.000 0.000 0.000  -0.06
Mn 0.500 0.500 0.500  3.93
Rh 0.250 0.250 0.250  0.29
Rh 0.750 0.750 0.750  0.29


Entry 14:
Entry from Alexandria: PrMnRh2 after structural relaxation (GGA-PBE).

Computed properties:
E_tot: -29.875 eV/cell
Energy of formation from the pure elements: -0.3059 eV/atom
Magnetization: 3.72 μB/cell
Density: 8.4 g cm⁻³

abc: 4.286 4.286 5.552
angles: 67.30 67.30 60.00
Site moments in Bohr magnetons follow the coordinates.
Element x y z (fractional)
Rh 0.791 0.791 0.627  0.14
Pr 0.000 0.000 0.000  -0.04
Mn 0.500 0.500 0.500  3.34
Rh 0.209 0.209 0.373  0.14


Entry 15:
Entry from Alexandria: Pr2MnSb4Rh3 after structural relaxation (GGA-PBE).

Computed properties:
Uncorrected formation energy: -0.71 eV per atom
E_tot: -64.353 eV/cell
Magnetization: 3.49 μB/cell
Density: 8.5 g cm⁻³

abc: 4.537 4.537 10.724
angles: 90.00 90.00 90.00
Site moments in Bohr magnetons follow the coordinates.
Element x y z (fractional)
Sb 0.500 0.500 0.000  0.00
Sb 0.000 0.000 0.000  0.00
Sb 0.500 0.000 0.634  -0.05
Rh 0.000 0.500 0.123  -0.05
Rh 0.000 0.000 0.500  0.08
Pr 0.000 0.500 0.750  0.01
Rh 0.500 0.000 0.877  -0.05
Sb 0.000 0.500 0.366  -0.05
Mn 0.500 0.500 0.500  3.44
Pr 0.500 0.000 0.250  0.01


Entry 16:
Entry from Alexandria: Pr2MnSiRh6 after structural relaxation (GGA-PBE).

Computed properties:
Uncorrected formation energy: -0.36 eV per atom
E_tot: -71.887 eV/cell
Magnetization: 2.76 μB/cell
Density: 8.5 g cm⁻³

abc: 6.223 6.739 6.224
angles: 62.25 60.13 89.85
Site moments in Bohr magnetons follow the coordinates.
Element x y z (fractional)
Pr 0.728 0.181 0.546  -0.01
Rh 0.180 0.676 0.071  -0.02
Rh 0.253 0.323 0.496  -0.02
Si 0.500 0.500 0.000  0.02
Mn 0.000 0.000 0.000  2.76
Rh 0.747 0.677 0.504  -0.02
Rh 0.820 0.324 0.929  -0.02
Pr 0.272 0.819 0.454  -0.01
Rh 0.253 0.320 0.932  -0.02
Rh 0.747 0.680 0.068  -0.02


Entry 17:
Entry from Alexandria: PrMnSi2Rh after structural relaxation (GGA-PBE).

Computed properties:
Uncorrected formation energy: -0.80 eV per atom
E_tot: -36.125 eV/cell
Magnetization: 2.68 μB/cell
Density: 6.9 g cm⁻³

abc: 4.077 4.077 5.923
angles: 110.13 110.13 90.00
Site moments in Bohr magnetons follow the coordinates.
Element x y z (fractional)
Si 0.622 0.622 0.244  -0.05
Rh 0.750 0.250 0.500  0.00
Si 0.378 0.378 0.756  -0.05
Pr 0.000 0.000 0.000  0.03
Mn 0.250 0.750 0.500  2.60


Entry 18:
Entry from Alexandria: Pr2MnSn4Rh3 after structural relaxation (GGA-PBE).

Computed properties:
E_tot: -62.680 eV/cell
Energy of formation from the pure elements: -0.5886 eV/atom
Magnetization: 3.61 μB/cell
Density: 8.4 g cm⁻³

abc: 4.472 4.472 11.079
angles: 90.00 90.00 90.00
Site moments in Bohr magnetons follow the coordinates.
Element x y z (fractional)
Pr 0.000 0.500 0.752  -0.01
Sn 0.500 0.000 0.635  -0.07
Rh 0.000 0.000 0.500  0.04
Rh 0.000 0.500 0.130  0.01
Sn 0.000 0.000 0.000  0.01
Sn 0.000 0.500 0.365  -0.07
Sn 0.500 0.500 0.000  0.01
Mn 0.500 0.500 0.500  3.51
Pr 0.500 0.000 0.248  -0.01
Rh 0.500 0.000 0.870  0.01


Entry 19:
Entry from Alexandria: Pr2MnSn3Rh4 after structural relaxation (GGA-PBE).

Computed properties:
E_tot: -66.306 eV/cell
Energy of formation from the pure elements: -0.6163 eV/atom
Magnetization: 3.76 μB/cell
Density: 8.7 g cm⁻³

abc: 4.374 4.374 11.064
angles: 90.00 90.00 90.00
Site moments in Bohr magnetons follow the coordinates.
Element x y z (fractional)
Rh 0.500 0.500 0.000  -0.01
Sn 0.000 0.500 0.131  -0.01
Mn 0.500 0.500 0.500  3.69
Rh 0.000 0.500 0.367  0.06
Rh 0.500 0.000 0.633  0.06
Rh 0.000 0.000 0.000  -0.03
Sn 0.500 0.000 0.869  -0.01
Pr 0.500 0.000 0.253  -0.03
Pr 0.000 0.500 0.747  -0.03
Sn 0.000 0.000 0.500  -0.07


Entry 20:
Entry from Alexandria: Pr2Mn2SnRh5 after structural relaxation (GGA-PBE).

Computed properties:
E_tot: -145.369 eV/cell
Energy of formation from the pure elements: -0.4026 eV/atom
Magnetization: 15.22 μB/cell
Density: 9.4 g cm⁻³

abc: 3.793 9.787 9.787
angles: 90.00 90.00 90.00
Site moments in Bohr magnetons follow the coordinates.
Element x y z (fractional)
Rh 0.500 0.064 0.788  0.16
Mn 0.000 0.883 0.383  3.25
Pr 0.000 0.681 0.181  -0.01
Rh 0.500 0.712 0.436  0.16
Mn 0.000 0.117 0.617  3.25
Rh 0.500 0.288 0.564  0.16
Sn 0.000 0.500 0.500  0.02
Rh 0.500 0.000 0.500  0.22
Rh 0.500 0.212 0.064  0.16
Rh 0.500 0.564 0.712  0.16
Rh 0.500 0.500 0.000  0.22
Mn 0.000 0.617 0.883  3.25
Sn 0.000 0.000 0.000  0.02
Pr 0.000 0.181 0.319  -0.01
Rh 0.500 0.436 0.288  0.16
Rh 0.500 0.788 0.936  0.16
Pr 0.000 0.819 0.681  -0.01
Mn 0.000 0.383 0.117  3.25
Pr 0.000 0.319 0.819  -0.01
Rh 0.500 0.936 0.212  0.16